First-principles (PBE with a Hubbard U) data for a relaxed MoHN2O crystal, as listed in Alexandria via LeMat-Bulk.

Computed properties:
uncorrected energy = -5.565 eV per atom
density of states at the Fermi level = 0.4 states/eV/f.u.
size of the total moment = 0.200 μB/atom
calculated density = 3.685 g/cm3

```
5
Lattice="4.0463 0.0000 0.0000 0.0000 4.0463 0.0000 0.0000 0.0000 3.8801" Properties=species:S:1:pos:R:3 pbc="T T T"
Mo 0.0000 0.0000 0.0000
H 2.0231 2.0231 1.9400
N 0.0000 2.0231 0.0000
N 2.0231 0.0000 0.0000
O 0.0000 0.0000 1.9400
```